Entry 1:
# TmCo2Ge2 GGA-PBE optimized geometry
data_TmCo2Ge2
_cell_length_a 5.7583
_cell_length_b 5.7583
_cell_length_c 5.7583
_cell_angle_alpha 140.12
_cell_angle_beta 140.12
_cell_angle_gamma 57.67
_symmetry_space_group_name_H-M 'P 1'
_symmetry_Int_Tables_number 1
_symmetry_space_group_name_Hall 'P 1'
loop_
_atom_site_label
_atom_site_fract_x
_atom_site_fract_y
_atom_site_fract_z
Co1 0.7500 0.2500 0.5000
Co2 0.2500 0.7500 0.5000
Ge1 0.3738 0.3738 0.0000
Ge2 0.6262 0.6262 0.0000
Tm1 0.0000 0.0000 0.0000
# ΔH_f (0 K), eV per atom: -0.599
# Fermi-level density of states, states/eV/f.u.: 2.85
# M_tot, μB/cell: 0.00
# SG: I4/mmm (139)
# Raw total energy, eV per cell: -30.913
# Volume, Å³/cell: 77.8

Entry 2:
# SrCS3 GGA-PBE optimized geometry
data_SrCS3
_cell_length_a 4.4145
_cell_length_b 4.4145
_cell_length_c 4.4145
_cell_angle_alpha 90.00
_cell_angle_beta 90.00
_cell_angle_gamma 90.00
_symmetry_space_group_name_H-M 'P 1'
_symmetry_Int_Tables_number 1
_symmetry_space_group_name_Hall 'P 1'
loop_
_atom_site_label
_atom_site_fract_x
_atom_site_fract_y
_atom_site_fract_z
S1 0.0000 0.0000 0.5000
S2 0.5000 0.0000 0.0000
S3 0.0000 0.5000 0.0000
C1 0.0000 0.0000 0.0000
Sr1 0.5000 0.5000 0.5000
# ΔE to the lowest computed polymorph, eV/f.u.: 0.00
# Fermi-level density of states, states/eV/f.u.: 2.92
# M_tot, μB/cell: 0.00
# SG: Pm-3m (221)
# Raw total energy, eV per cell: -22.129
# Volume, Å³/cell: 86.0

Entry 3:
# Ac4Nd4Ho GGA-PBE optimized geometry
data_Ac4Nd4Ho
_cell_length_a 5.3823
_cell_length_b 8.4996
_cell_length_c 8.4996
_cell_angle_alpha 84.25
_cell_angle_beta 71.54
_cell_angle_gamma 71.54
_symmetry_space_group_name_H-M 'P 1'
_symmetry_Int_Tables_number 1
_symmetry_space_group_name_Hall 'P 1'
loop_
_atom_site_label
_atom_site_fract_x
_atom_site_fract_y
_atom_site_fract_z
Nd1 0.3375 0.6625 0.6625
Nd2 0.0000 0.3375 0.6625
Nd3 0.0000 0.6625 0.3375
Nd4 0.6625 0.3375 0.3375
Ac1 0.3342 0.0000 0.3317
Ac2 0.3342 0.3317 0.0000
Ac3 0.6659 0.0000 0.6683
Ac4 0.6658 0.6683 0.0000
Ho1 0.0000 0.0000 0.0000
# ΔH_f (0 K), eV per atom: 0.041
# Fermi-level density of states, states/eV/f.u.: 14.09
# M_tot, μB/cell: 0.00
# SG: I4/mmm (139)
# Raw total energy, eV per cell: -39.714
# Volume, Å³/cell: 349.9

Entry 4:
# Ca2ZnGaAu6 GGA-PBE optimized geometry
data_Ca2ZnGaAu6
_cell_length_a 6.9475
_cell_length_b 6.9475
_cell_length_c 6.9475
_cell_angle_alpha 60.00
_cell_angle_beta 60.00
_cell_angle_gamma 90.00
_symmetry_space_group_name_H-M 'P 1'
_symmetry_Int_Tables_number 1
_symmetry_space_group_name_Hall 'P 1'
loop_
_atom_site_label
_atom_site_fract_x
_atom_site_fract_y
_atom_site_fract_z
Ga1 0.0000 0.0000 0.0000
Ca1 0.2500 0.7500 0.5000
Ca2 0.7500 0.2500 0.5000
Zn1 0.5000 0.5000 0.0000
Au1 0.2504 0.2504 0.4993
Au2 0.2504 0.2504 0.0000
Au3 0.7496 0.7496 0.5007
Au4 0.7496 0.7496 0.0000
Au5 0.2504 0.7496 0.0000
Au6 0.7496 0.2504 0.0000
# ΔH_f (0 K), eV per atom: -0.288
# Fermi-level density of states, states/eV/f.u.: 3.24
# M_tot, μB/cell: 0.00
# SG: Fm-3m (225)
# Raw total energy, eV per cell: -30.845
# Volume, Å³/cell: 237.1

Entry 5:
# ZnPRu2 GGA-PBE optimized geometry
data_ZnPRu2
_cell_length_a 7.9225
_cell_length_b 7.9225
_cell_length_c 7.9225
_cell_angle_alpha 20.86
_cell_angle_beta 20.86
_cell_angle_gamma 20.86
_symmetry_space_group_name_H-M 'P 1'
_symmetry_Int_Tables_number 1
_symmetry_space_group_name_Hall 'P 1'
loop_
_atom_site_label
_atom_site_fract_x
_atom_site_fract_y
_atom_site_fract_z
P1 0.0000 0.0000 0.0000
Zn1 0.5000 0.5000 0.5000
Ru1 0.2599 0.2599 0.2599
Ru2 0.7401 0.7401 0.7401
# ΔE to the lowest computed polymorph, eV/f.u.: 0.29
# ΔH_f (0 K), eV per atom: -0.185
# Fermi-level density of states, states/eV/f.u.: 4.32
# M_tot, μB/cell: 0.00
# SG: R-3m (166)
# Raw total energy, eV per cell: -25.974
# Volume, Å³/cell: 55.2

Entry 6:
# ScAsP2O GGA-PBE optimized geometry
data_ScAsP2O
_cell_length_a 5.1084
_cell_length_b 5.1084
_cell_length_c 3.8280
_cell_angle_alpha 90.00
_cell_angle_beta 90.00
_cell_angle_gamma 90.00
_symmetry_space_group_name_H-M 'P 1'
_symmetry_Int_Tables_number 1
_symmetry_space_group_name_Hall 'P 1'
loop_
_atom_site_label
_atom_site_fract_x
_atom_site_fract_y
_atom_site_fract_z
O1 0.0000 0.0000 0.5000
P1 0.0000 0.5000 0.0000
P2 0.5000 0.0000 0.0000
As1 0.5000 0.5000 0.5000
Sc1 0.0000 0.0000 0.0000
# ΔE to the lowest computed polymorph, eV/f.u.: 0.28
# Fermi-level density of states, states/eV/f.u.: 4.06
# M_tot, μB/cell: 0.00
# SG: P4/mmm (123)
# Raw total energy, eV per cell: -27.382
# Volume, Å³/cell: 99.9

Entry 7:
# TiGe3Br GGA-PBE optimized geometry
data_TiGe3Br
_cell_length_a 5.0404
_cell_length_b 5.0404
_cell_length_c 5.0404
_cell_angle_alpha 90.00
_cell_angle_beta 90.00
_cell_angle_gamma 90.00
_symmetry_space_group_name_H-M 'P 1'
_symmetry_Int_Tables_number 1
_symmetry_space_group_name_Hall 'P 1'
loop_
_atom_site_label
_atom_site_fract_x
_atom_site_fract_y
_atom_site_fract_z
Ge1 0.0000 0.0000 0.5000
Ge2 0.5000 0.0000 0.0000
Ge3 0.0000 0.5000 0.0000
Ti1 0.5000 0.5000 0.5000
Br1 0.0000 0.0000 0.0000
# ΔE to the lowest computed polymorph, eV/f.u.: 4.20
# Fermi-level density of states, states/eV/f.u.: 6.61
# M_tot, μB/cell: 0.00
# SG: Pm-3m (221)
# Raw total energy, eV per cell: -17.667
# Volume, Å³/cell: 128.1

Entry 8:
# Ac5HPb4 GGA-PBE optimized geometry
data_Ac5HPb4
_cell_length_a 6.8326
_cell_length_b 8.2424
_cell_length_c 8.2424
_cell_angle_alpha 80.11
_cell_angle_beta 65.51
_cell_angle_gamma 65.51
_symmetry_space_group_name_H-M 'P 1'
_symmetry_Int_Tables_number 1
_symmetry_space_group_name_Hall 'P 1'
loop_
_atom_site_label
_atom_site_fract_x
_atom_site_fract_y
_atom_site_fract_z
Ac1 0.7076 0.1933 0.3872
Ac2 0.4463 0.0000 0.0000
Ac3 0.2880 0.8067 0.6128
Ac4 0.0948 0.6128 0.1933
Ac5 0.9009 0.3872 0.8067
Pb1 0.5960 0.6066 0.2039
Pb2 0.4065 0.3934 0.7961
Pb3 0.7999 0.7961 0.6066
Pb4 0.2026 0.2039 0.3934
H1 0.0677 0.0000 0.0000
# Fermi-level density of states, states/eV/f.u.: 9.10
# M_tot, μB/cell: 0.00
# SG: I4 (79)
# Raw total energy, eV per cell: -42.231
# Volume, Å³/cell: 384.4